Compound: Dy2ErAg3
Source: Alexandria
Functional: PBE-GGA
Structure: relaxed

The space group is P4/mmm (No. 123) and the conventional cell measures 3.609, 3.609 and 10.968 Å, with angles of 90.00, 90.00 and 90.00 degrees. The inequivalent atoms are Dy at (0.000, 0.000, 0.168), Er at (0.000, 0.000, 0.500), Ag at (0.500, 0.500, 0.000) and Ag at (0.500, 0.500, 0.336).

Its mass density is 9.5 g cm⁻³. The crystal system is tetragonal. The value obtained for the total energy is -4.048 eV/atom. The formation energy from the elements is -1.97 eV/f.u.